[1]
This record from Alexandria describes crystalline Nd2Ho3Mg at its relaxed geometry. The functional is GGA-PBE.

abc: 9.886 11.583 6.785
angles: 90.00 95.78 90.00
Space group C2/c (No. 15)
Unique sites:
Nd: 0.163 0.233 0.197 x8
Ho: 0.000 0.049 0.750 x4
Ho: 0.190 0.482 0.486 x8
Mg: 0.000 0.321 0.750 x4

Crystal system: monoclinic
ΔE_f: 0.8 eV/f.u.
ρ: 6.94 Mg/m³



[2]
This record from Alexandria describes crystalline Nd2Ho7Mg2 at its relaxed geometry. The functional is GGA-PBE.

abc: 11.585 11.282 5.689
angles: 90.00 111.55 90.00
Space group C2/m (No. 12)
Unique sites:
Nd: 0.000 0.223 0.000 x4
Ho: 0.000 0.000 0.500 x2
Ho: 0.192 0.207 0.686 x8
Ho: 0.228 0.000 0.159 x4
Mg: 0.068 0.500 0.284 x4

Crystal system: monoclinic
ΔE_f: 1.8 eV/f.u.
ρ: 7.16 Mg/m³



[3]
This record from Alexandria describes crystalline Nd12Ho5Mg2 at its relaxed geometry. The functional is GGA-PBE.

abc: 15.834 9.239 8.624
angles: 90.00 92.54 90.00
Space group C2/m (No. 12)
Unique sites:
Nd: 0.060 0.000 0.340 x4
Nd: 0.080 0.500 0.881 x4
Nd: 0.127 0.195 0.680 x8
Nd: 0.149 0.315 0.236 x8
Ho: 0.000 0.500 0.500 x2
Ho: 0.202 0.000 0.027 x4
Ho: 0.231 0.500 0.572 x4
Mg: 0.000 0.164 0.000 x4

Crystal system: monoclinic
ΔE_f: 1.7 eV/f.u.
ρ: 6.86 Mg/m³



[4]
This record from Alexandria describes crystalline Nd3Ho2Mg2 at its relaxed geometry. The functional is GGA-PBE.

abc: 5.333 23.480 3.496
angles: 90.00 90.00 90.00
Space group Cmmm (No. 65)
Unique sites:
Nd: 0.000 0.000 0.000 x2
Nd: 0.000 0.150 0.000 x4
Ho: 0.000 0.288 0.500 x4
Mg: 0.000 0.430 0.500 x4

Crystal system: orthorhombic
ΔE_f: 0.3 eV/f.u.
ρ: 6.15 Mg/m³



[5]
This record from Alexandria describes crystalline Nd3HoMg4 at its relaxed geometry. The functional is GGA-PBE.

abc: 3.853 3.853 15.505
angles: 90.00 90.00 90.00
Space group P4/mmm (No. 123)
Unique sites:
Nd: 0.000 0.000 0.000 x1
Nd: 0.000 0.000 0.255 x2
Ho: 0.000 0.000 0.500 x1
Mg: 0.500 0.500 0.128 x2
Mg: 0.500 0.500 0.383 x2

Crystal system: tetragonal
ΔE_f: -0.8 eV/f.u.
ρ: 5.01 Mg/m³



[6]
This record from Alexandria describes crystalline Nd14HoMg at its relaxed geometry. The functional is GGA-PBE.

abc: 10.333 10.288 10.287
angles: 90.00 90.00 90.00
Space group Amm2 (No. 38)
Unique sites:
Nd: 0.000 0.000 0.000 x2
Nd: 0.000 0.000 0.500 x2
Nd: 0.000 0.250 0.250 x4
Nd: 0.253 0.000 0.250 x4
Nd: 0.253 0.250 0.000 x8
Nd: 0.254 0.000 0.750 x4
Nd: 0.500 0.249 0.250 x4
Ho: 0.500 0.000 0.000 x2
Mg: 0.500 0.000 0.500 x2

Crystal system: orthorhombic
ΔE_f: 0.1 eV/f.u.
ρ: 6.71 Mg/m³



[7]
This record from Alexandria describes crystalline Nd4Ho2Mg at its relaxed geometry. The functional is GGA-PBE.

abc: 5.982 3.680 11.038
angles: 90.00 99.67 90.00
Space group P2/m (No. 10)
Unique sites:
Nd: 0.046 0.000 0.206 x2
Nd: 0.437 0.500 0.749 x2
Ho: 0.000 0.500 0.500 x1
Ho: 0.500 0.000 0.500 x1
Mg: 0.500 0.000 0.000 x1

Crystal system: monoclinic
ΔE_f: 0.8 eV/f.u.
ρ: 6.45 Mg/m³



[8]
This record from Alexandria describes crystalline Nd6Ho2Mg at its relaxed geometry. The functional is GGA-PBE.

abc: 10.766 10.766 5.145
angles: 90.00 90.00 90.00
Space group P4_2/mnm (No. 136)
Unique sites:
Nd: 0.002 0.332 0.000 x8
Nd: 0.161 0.839 0.500 x4
Ho: 0.170 0.170 0.500 x4
Mg: 0.000 0.000 0.000 x2

Crystal system: tetragonal
ΔE_f: 0.2 eV/f.u.
ρ: 6.79 Mg/m³